Compound: Tb4PmEr7
Source: the Alexandria database
Functional: PBE-GGA
Structure: optimized geometry

Calculated values
E_form   0.278 eV/atom
Energy relative to the lowest polymorph listed for this composition   191 meV/atom
Mass density   8.31 g cm⁻³

Cell: 5.830 11.497 6.686 Å, 83.20 64.15 75.31°
Sites, in units of the cell vectors:
1 Tb 0.634 0.225 0.507
2 Tb 0.366 0.775 0.493
3 Tb 0.756 0.680 0.808
4 Tb 0.244 0.320 0.192
5 Pm 0.000 0.000 0.000
6 Er 0.789 0.923 0.499
7 Er 0.211 0.077 0.501
8 Er 0.061 0.674 0.203
9 Er 0.939 0.326 0.797
10 Er 0.366 0.501 0.767
11 Er 0.500 0.000 0.000
12 Er 0.634 0.499 0.233